[1]
Entry from Alexandria via LeMat-Bulk: a relaxed structure of Ta3Mo5 (PBE).

```
data_Ta3Mo5
_cell_length_a 6.427
_cell_length_b 5.594
_cell_length_c 5.540
_cell_angle_alpha 70.51
_cell_angle_beta 55.13
_cell_angle_gamma 54.35
_space_group_name_H-M_alt 'P 1'
_space_group_IT_number 1
loop_
_space_group_symop_operation_xyz
'x,y,z'
loop_
_atom_site_label
_atom_site_type_symbol
_atom_site_fract_x
_atom_site_fract_y
_atom_site_fract_z
Ta1 Ta 0.000 0.000 0.000
Ta2 Ta 0.000 0.500 0.000
Ta3 Ta 0.500 0.000 0.500
Mo1 Mo 0.000 0.000 0.500
Mo2 Mo 0.000 0.500 0.500
Mo3 Mo 0.500 0.000 0.000
Mo4 Mo 0.500 0.500 0.000
Mo5 Mo 0.500 0.500 0.500
```

Values from the calculation:
N(E_F)	4.8	states/eV per cell
volume	133	Å³/cell
space-group type	Fmmm, No. 69
magnetic moment	0.00	μB/cell
ΔE_f	-0.140	eV/atom

=====

[2]
Entry from Alexandria via LeMat-Bulk: a relaxed structure of Ta2Mo (PBE).

```
data_Ta2Mo
_cell_length_a 5.293
_cell_length_b 5.293
_cell_length_c 5.293
_cell_angle_alpha 104.02
_cell_angle_beta 104.02
_cell_angle_gamma 121.04
_space_group_name_H-M_alt 'P 1'
_space_group_IT_number 1
loop_
_space_group_symop_operation_xyz
'x,y,z'
loop_
_atom_site_label
_atom_site_type_symbol
_atom_site_fract_x
_atom_site_fract_y
_atom_site_fract_z
Ta1 Ta 0.157 0.657 0.814
Ta2 Ta 0.343 0.157 0.500
Ta3 Ta 0.657 0.843 0.500
Ta4 Ta 0.843 0.343 0.186
Mo1 Mo 0.250 0.250 0.000
Mo2 Mo 0.750 0.750 0.000
```

Values from the calculation:
N(E_F)	7.7	states/eV per cell
volume	111	Å³/cell
space-group type	I4/mcm, No. 140
magnetic moment	0.00	μB/cell
ΔE_f	0.341	eV/atom

=====

[3]
Entry from Alexandria via LeMat-Bulk: a relaxed structure of Ta3Mo5 (PBE).

```
data_Ta3Mo5
_cell_length_a 2.808
_cell_length_b 2.808
_cell_length_c 17.955
_cell_angle_alpha 90.00
_cell_angle_beta 90.00
_cell_angle_gamma 110.16
_space_group_name_H-M_alt 'P 1'
_space_group_IT_number 1
loop_
_space_group_symop_operation_xyz
'x,y,z'
loop_
_atom_site_label
_atom_site_type_symbol
_atom_site_fract_x
_atom_site_fract_y
_atom_site_fract_z
Ta1 Ta 0.000 0.000 0.000
Ta2 Ta 0.000 0.000 0.252
Ta3 Ta 0.000 0.000 0.748
Mo1 Mo 0.000 0.000 0.500
Mo2 Mo 0.500 0.500 0.126
Mo3 Mo 0.500 0.500 0.379
Mo4 Mo 0.500 0.500 0.621
Mo5 Mo 0.500 0.500 0.874
```

Values from the calculation:
N(E_F)	3.8	states/eV per cell
volume	133	Å³/cell
space-group type	Cmmm, No. 65
magnetic moment	0.00	μB/cell
ΔE_f	-0.100	eV/atom

=====

[4]
Entry from Alexandria via LeMat-Bulk: a relaxed structure of TaMo2 (PBE).

```
data_TaMo2
_cell_length_a 7.020
_cell_length_b 7.020
_cell_length_c 4.519
_cell_angle_alpha 90.00
_cell_angle_beta 90.00
_cell_angle_gamma 153.56
_space_group_name_H-M_alt 'P 1'
_space_group_IT_number 1
loop_
_space_group_symop_operation_xyz
'x,y,z'
loop_
_atom_site_label
_atom_site_type_symbol
_atom_site_fract_x
_atom_site_fract_y
_atom_site_fract_z
Ta1 Ta 0.163 0.837 0.000
Ta2 Ta 0.837 0.163 0.000
Mo1 Mo 0.000 0.000 0.500
Mo2 Mo 0.333 0.667 0.500
Mo3 Mo 0.500 0.500 0.000
Mo4 Mo 0.667 0.333 0.500
```

Values from the calculation:
N(E_F)	4.0	states/eV per cell
volume	99	Å³/cell
space-group type	Cmmm, No. 65
magnetic moment	0.00	μB/cell
ΔE_f	-0.136	eV/atom

=====

[5]
Entry from Alexandria via LeMat-Bulk: a relaxed structure of Ta3Mo5 (PBE).

```
data_Ta3Mo5
_cell_length_a 7.846
_cell_length_b 7.846
_cell_length_c 7.846
_cell_angle_alpha 33.78
_cell_angle_beta 33.78
_cell_angle_gamma 33.78
_space_group_name_H-M_alt 'P 1'
_space_group_IT_number 1
loop_
_space_group_symop_operation_xyz
'x,y,z'
loop_
_atom_site_label
_atom_site_type_symbol
_atom_site_fract_x
_atom_site_fract_y
_atom_site_fract_z
Ta1 Ta 0.000 0.000 0.000
Ta2 Ta 0.127 0.127 0.127
Ta3 Ta 0.504 0.504 0.504
Mo1 Mo 0.253 0.253 0.253
Mo2 Mo 0.377 0.377 0.377
Mo3 Mo 0.627 0.627 0.627
Mo4 Mo 0.750 0.750 0.750
Mo5 Mo 0.876 0.876 0.876
```

Values from the calculation:
N(E_F)	3.1	states/eV per cell
volume	133	Å³/cell
space-group type	R3m, No. 160
magnetic moment	0.00	μB/cell
ΔE_f	-0.130	eV/atom

=====

[6]
Entry from Alexandria via LeMat-Bulk: a relaxed structure of Ta3Mo (PBE).

```
data_Ta3Mo
_cell_length_a 5.441
_cell_length_b 5.441
_cell_length_c 6.596
_cell_angle_alpha 108.10
_cell_angle_beta 108.10
_cell_angle_gamma 49.97
_space_group_name_H-M_alt 'P 1'
_space_group_IT_number 1
loop_
_space_group_symop_operation_xyz
'x,y,z'
loop_
_atom_site_label
_atom_site_type_symbol
_atom_site_fract_x
_atom_site_fract_y
_atom_site_fract_z
Ta1 Ta 0.121 0.121 0.432
Ta2 Ta 0.368 0.368 0.818
Ta3 Ta 0.374 0.374 0.304
Ta4 Ta 0.626 0.626 0.696
Ta5 Ta 0.632 0.632 0.182
Ta6 Ta 0.879 0.879 0.568
Mo1 Mo 0.121 0.121 0.937
Mo2 Mo 0.879 0.879 0.063
```

Values from the calculation:
N(E_F)	8.4	states/eV per cell
volume	140	Å³/cell
space-group type	C2/m, No. 12
magnetic moment	0.00	μB/cell
ΔE_f	-0.100	eV/atom

=====

[7]
Entry from Alexandria via LeMat-Bulk: a relaxed structure of TaMo2 (PBE).

```
data_TaMo2
_cell_length_a 4.374
_cell_length_b 4.374
_cell_length_c 4.374
_cell_angle_alpha 60.00
_cell_angle_beta 60.00
_cell_angle_gamma 60.00
_space_group_name_H-M_alt 'P 1'
_space_group_IT_number 1
loop_
_space_group_symop_operation_xyz
'x,y,z'
loop_
_atom_site_label
_atom_site_type_symbol
_atom_site_fract_x
_atom_site_fract_y
_atom_site_fract_z
Ta1 Ta 0.000 0.000 0.000
Mo1 Mo 0.250 0.250 0.250
Mo2 Mo 0.750 0.750 0.750
```

Values from the calculation:
N(E_F)	4.8	states/eV per cell
volume	59	Å³/cell
space-group type	Fm-3m, No. 225
magnetic moment	0.00	μB/cell
ΔE_f	1.031	eV/atom

=====

[8]
Entry from Alexandria via LeMat-Bulk: a relaxed structure of Ta2Mo (PBE).

```
data_Ta2Mo
_cell_length_a 2.868
_cell_length_b 8.030
_cell_length_c 4.587
_cell_angle_alpha 90.00
_cell_angle_beta 90.00
_cell_angle_gamma 90.00
_space_group_name_H-M_alt 'P 1'
_space_group_IT_number 1
loop_
_space_group_symop_operation_xyz
'x,y,z'
loop_
_atom_site_label
_atom_site_type_symbol
_atom_site_fract_x
_atom_site_fract_y
_atom_site_fract_z
Ta1 Ta 0.218 0.167 0.000
Ta2 Ta 0.282 0.667 0.500
Ta3 Ta 0.718 0.333 0.500
Ta4 Ta 0.782 0.833 0.000
Mo1 Mo 0.000 0.500 0.000
Mo2 Mo 0.500 0.000 0.500
```

Values from the calculation:
N(E_F)	4.2	states/eV per cell
volume	106	Å³/cell
space-group type	Pnnm, No. 58
magnetic moment	0.00	μB/cell
ΔE_f	-0.033	eV/atom